DFT (PBE) results for Ta3Mo2Ru2 after structural relaxation.

Computed properties:
Total magnetic moment (μB per cell): 0.00
Final energy (eV/cell): -76.93
Energy relative to the elements (eV per formula unit): -1.16

```
data_Ta3Mo2Ru2
_chemical_formula_sum 'Ta3 Mo2 Ru2'
_cell_length_a 4.510
_cell_length_b 4.504
_cell_length_c 8.299
_cell_angle_alpha 89.97
_cell_angle_beta 122.96
_cell_angle_gamma 119.92
_symmetry_space_group_name_H-M 'P 1'
_symmetry_Int_Tables_number 1
_symmetry_space_group_name_Hall 'P 1'
loop_
_atom_site_label
_atom_site_type_symbol
_atom_site_fract_x
_atom_site_fract_y
_atom_site_fract_z
Mo1 Mo 0.138 0.569 0.853
Ta1 Ta 0.284 0.143 0.713
Mo2 Mo 0.862 0.431 0.147
Ta2 Ta 0.000 0.000 0.000
Ru1 Ru 0.450 0.724 0.586
Ru2 Ru 0.550 0.276 0.414
Ta3 Ta 0.716 0.857 0.287
```